# PBE Rb4Pm3US8, relaxed
# * DOS at the Fermi energy: 0.56 states/eV/atom
# * formation energy (no corrections): -1.70 eV per atom
data_Rb4Pm3US8
_space_group_name_H-M_alt 'R -3 m'
_space_group_IT_number 166
_space_group_name_Hall '-R 3 2"'
_cell_length_a 8.3471
_cell_length_b 8.3471
_cell_length_c 23.1333
_cell_angle_alpha 90.00
_cell_angle_beta 90.00
_cell_angle_gamma 120.00
loop_
_atom_site_label
_atom_site_fract_x
_atom_site_fract_y
_atom_site_fract_z
Rb1 0.0000 0.0000 0.0000
Rb2 0.0000 0.5000 0.0000
Pm1 0.0000 0.5000 0.5000
U1 0.0000 0.0000 0.5000
S1 0.0000 0.0000 0.2325
S2 0.0060 0.5030 0.2316